# 1
A plane-wave DFT calculation with GGA-PBE was carried out for RbBrN2 after structural relaxation.

The raw formation energy is 1.90 eV per atom. The calculation puts the total magnetization at 0.0 μB/f.u.

The structure belongs to space group R-3m (No. 166, hexagonal axes); the cell edges are 3.3433, 3.3433 and 22.7622 Å and the angles 90.00°, 90.00° and 120.00°. The asymmetric unit holds Rb at (0.0000, 0.0000, 0.0000), Br at (0.0000, 0.0000, 0.5000) and N at (0.0000, 0.0000, 0.1158).



# 2
A plane-wave DFT calculation with GGA-PBE was carried out for Na2UHgS4 after structural relaxation.

The raw formation energy is -0.99 eV per atom. The calculation puts the total magnetization at 2.0 μB/f.u.

The structure belongs to space group P2/m (No. 10); the cell edges are 7.036, 3.972 and 7.160 Å and the angles 90.00°, 111.68° and 90.00°. The asymmetric unit holds Na at (0.000, 0.000, 0.000), Na at (0.500, 0.500, 0.000), U at (0.000, 0.500, 0.500), Hg at (0.500, 0.000, 0.500), S at (0.220, 0.000, 0.743) and S at (0.252, 0.500, 0.288).



# 3
A plane-wave DFT calculation with GGA-PBE was carried out for Sm3PuCo8 after structural relaxation.

For the formation energy, the calculation gives -0.084 eV/atom. The calculation puts the total magnetization at 4.3 μB/f.u.

The structure belongs to space group R3m (No. 160, hexagonal axes); the cell edges are 5.0181, 5.0181 and 25.6151 Å and the angles 90.00°, 90.00° and 120.00°. The asymmetric unit holds Sm at (0.0000, 0.0000, 0.0000), Sm at (0.0000, 0.0000, 0.1242), Sm at (0.0000, 0.0000, 0.5003), Pu at (0.0000, 0.0000, 0.6220), Co at (0.0000, 0.0000, 0.3094), Co at (0.0000, 0.0000, 0.8112), Co at (0.0029, 0.5014, 0.5633) and Co at (0.1676, 0.3352, 0.3947).



# 4
A plane-wave DFT calculation with GGA-PBE was carried out for Zr7Ga5Sb after structural relaxation.

The raw formation energy is -0.39 eV per atom. The calculation puts the total magnetization at 0.0 μB/f.u.

The structure belongs to space group Imm2 (No. 44); the cell edges are 5.529, 10.114 and 9.539 Å and the angles 90.00°, 90.00° and 90.00°. The asymmetric unit holds Zr at (0.000, 0.000, 0.000), Zr at (0.000, 0.000, 0.363), Zr at (0.000, 0.336, 0.592), Zr at (0.000, 0.337, 0.078), Zr at (0.000, 0.500, 0.334), Ga at (0.000, 0.500, 0.833), Ga at (0.246, 0.256, 0.341) and Sb at (0.000, 0.000, 0.669).



# 5
A plane-wave DFT calculation with GGA-PBE was carried out for CsReTeN2 after structural relaxation.

The raw formation energy is 2.98 eV per atom. The calculation puts the total magnetization at 6.7 μB/f.u.

The structure belongs to space group P4/mmm (No. 123); the cell edges are 4.363, 4.363 and 7.663 Å and the angles 90.00°, 90.00° and 90.00°. The asymmetric unit holds Cs at (0.000, 0.000, 0.000), Re at (0.500, 0.500, 0.500), Te at (0.000, 0.000, 0.500) and N at (0.000, 0.500, 0.000).



| no. | VASP energy (eV for the cell shown) |
| --- | --- |
| 1 | -35.11 |
| 2 | -38.68 |
| 3 | -259.03 |
| 4 | -168.39 |
| 5 | -18.18 |